1.
{
  "formula": "Fe2AgBr",
  "functional": "meta-GGA SCAN",
  "state": "PBEsol geometry",
  "magmom_total_mub_per_cell": 18.27,
  "e_form_raw_mev_per_atom": 566,
  "n_ef_per_ev_cell": 9.801,
  "e_above_lowest_polymorph_mev_per_atom": 0,
  "sg": "R-3m (166)",
  "lattice": [[2.9517, 0.0000, 0.0000], [-1.4758, 2.5562, 0.0000], [0.0000, 0.0000, 24.3991]],
  "species": ["Fe", "Fe", "Fe", "Fe", "Fe", "Fe", "Ag", "Ag", "Ag", "Br", "Br", "Br"],
  "fractional_positions": [[0.0000, 0.0000, 0.2469], [0.0000, 0.0000, 0.7531], [0.3333, 0.6667, 0.4198], [0.3333, 0.6667, 0.9136], [0.6667, 0.3333, 0.0864], [0.6667, 0.3333, 0.5802], [0.0000, 0.0000, 0.0000], [0.3333, 0.6667, 0.6667], [0.6667, 0.3333, 0.3333], [0.0000, 0.0000, 0.5000], [0.3333, 0.6667, 0.1667], [0.6667, 0.3333, 0.8333]]
}



2.
{
  "formula": "CrRh3",
  "functional": "meta-GGA SCAN",
  "state": "PBEsol geometry",
  "magmom_total_mub_per_cell": 3.88,
  "n_ef_per_ev_cell": 8.522,
  "ef_ev_per_fu": -0.53,
  "sg": "I4/mmm (139)",
  "lattice": [[3.7336, 0.0000, 0.0000], [0.0000, 3.7336, 0.0000], [0.0000, 0.0000, 7.4514]],
  "species": ["Cr", "Cr", "Rh", "Rh", "Rh", "Rh", "Rh", "Rh"],
  "fractional_positions": [[0.0000, 0.0000, 0.0000], [0.5000, 0.5000, 0.5000], [0.0000, 0.0000, 0.5000], [0.0000, 0.5000, 0.2500], [0.0000, 0.5000, 0.7500], [0.5000, 0.0000, 0.2500], [0.5000, 0.0000, 0.7500], [0.5000, 0.5000, 0.0000]]
}



What did the first record say?
{
  "formula": "Fe2AgBr",
  "functional": "meta-GGA SCAN",
  "state": "PBEsol geometry",
  "magmom_total_mub_per_cell": 18.27,
  "e_form_raw_mev_per_atom": 566,
  "n_ef_per_ev_cell": 9.801,
  "e_above_lowest_polymorph_mev_per_atom": 0,
  "sg": "R-3m (166)",
  "lattice": [[2.9517, 0.0000, 0.0000], [-1.4758, 2.5562, 0.0000], [0.0000, 0.0000, 24.3991]],
  "species": ["Fe", "Fe", "Fe", "Fe", "Fe", "Fe", "Ag", "Ag", "Ag", "Br", "Br", "Br"],
  "fractional_positions": [[0.0000, 0.0000, 0.2469], [0.0000, 0.0000, 0.7531], [0.3333, 0.6667, 0.4198], [0.3333, 0.6667, 0.9136], [0.6667, 0.3333, 0.0864], [0.6667, 0.3333, 0.5802], [0.0000, 0.0000, 0.0000], [0.3333, 0.6667, 0.6667], [0.6667, 0.3333, 0.3333], [0.0000, 0.0000, 0.5000], [0.3333, 0.6667, 0.1667], [0.6667, 0.3333, 0.8333]]
}